1.
This record from the Alexandria database describes a relaxed structure of GaMoPdBr2. The functional is PBEsol.

Summary:
density of states at the Fermi level = 3.44 states/eV/f.u.
V = 120 Å³ per cell
energy = -4.4999 eV per atom
SG = P4/mmm, No. 123
ΔE_f (raw) = 0.46 eV/atom

Structure (extended XYZ):
```
5
Lattice="-4.006 -0.715 2.745 -0.003 -4.778 -1.250 2.854 -1.022 3.899" Properties=species:S:1:pos:R:3 pbc="T T T"
Pd -2.003 -0.358 1.372
Br -0.002 -2.389 -0.625
Br 1.427 -0.511 1.950
Mo 0.000 0.000 0.000
Ga -0.578 -3.258 2.697
```

***

2.
This record from the Alexandria database describes a relaxed structure of NaGaBr4. The functional is PBEsol.

Summary:
density of states at the Fermi level = 0.00 states/eV/f.u.
V = 759 Å³ per cell
energy = -3.1088 eV per atom
SG = Pnma, No. 62
ΔE_f (raw) = -1.07 eV/atom

Structure (extended XYZ):
```
24
Lattice="-0.250 5.220 5.169 -7.098 1.404 -1.761 -4.165 -9.400 9.292" Properties=species:S:1:pos:R:3 pbc="T T T"
Br -6.256 -0.790 0.518
Br -5.132 -4.574 9.620
Na -8.352 1.979 5.438
Br -3.186 -1.140 8.837
Br -3.378 2.754 7.486
Br -6.490 0.422 7.100
Br -6.380 1.798 3.080
Br -3.254 0.167 4.924
Ga -5.915 -6.739 9.134
Br -5.256 -1.986 12.182
Ga -8.339 -0.606 8.049
Br -3.257 3.986 3.657
Br -8.255 -6.762 9.044
Na -7.645 -3.273 10.776
Na -3.868 0.497 1.924
Br -5.022 -3.198 5.600
Na -3.160 -4.755 7.263
Br -1.037 1.126 1.426
Ga -5.597 3.963 3.567
Br -8.135 -5.530 5.215
Ga -3.173 -2.170 4.651
Br -10.475 -3.902 11.274
Br -8.326 -1.636 3.863
Br -8.259 -2.943 7.777
```

***

3.
This record from the Alexandria database describes a relaxed structure of Na4Ga3Si3BrO12. The functional is PBEsol.

Summary:
density of states at the Fermi level = 0.00 states/eV/f.u.
V = 735 Å³ per cell
energy = -6.5234 eV per atom
SG = P-43n, No. 218
ΔE_f (raw) = -2.27 eV/atom

Structure (extended XYZ):
```
46
Lattice="9.023 0.000 0.000 0.000 9.023 0.000 0.000 0.000 9.023" Properties=species:S:1:pos:R:3 pbc="T T T"
Na 1.628 1.628 1.628
O 5.881 3.289 0.635
Si 0.000 2.256 4.512
Br 0.000 0.000 0.000
O 3.289 0.635 5.881
O 3.289 8.388 3.142
O 1.370 3.876 1.223
Br 4.512 4.512 4.512
O 5.147 1.223 7.654
O 7.800 1.370 5.147
O 5.881 5.735 8.388
Na 7.395 7.395 1.628
Si 0.000 6.767 4.512
O 8.388 3.142 3.289
O 3.876 1.223 1.370
Na 6.140 6.140 6.140
O 5.735 0.635 3.142
O 8.388 5.881 5.735
Ga 2.256 0.000 4.512
O 5.735 8.388 5.881
Na 7.395 1.628 7.395
O 0.635 3.142 5.735
O 1.370 5.147 7.800
Ga 0.000 4.512 6.767
Ga 6.767 0.000 4.512
O 3.876 7.800 7.654
Na 2.883 2.883 6.140
Ga 0.000 4.512 2.256
O 0.635 5.881 3.289
Ga 4.512 6.767 0.000
Si 2.256 4.512 0.000
O 5.147 7.800 1.370
O 7.654 3.876 7.800
O 3.142 5.735 0.635
Na 2.883 6.140 2.883
Ga 4.512 2.256 0.000
Si 4.512 0.000 2.256
O 1.223 1.370 3.876
Si 4.512 0.000 6.767
O 7.654 5.147 1.223
O 3.142 3.289 8.388
O 7.800 7.654 3.876
Na 1.628 7.395 7.395
O 1.223 7.654 5.147
Si 6.767 4.512 0.000
Na 6.140 2.883 2.883
```

***

4.
This record from the Alexandria database describes a relaxed structure of RbNaGa2Br. The functional is PBEsol.

Summary:
density of states at the Fermi level = 3.16 states/eV/f.u.
V = 168 Å³ per cell
energy = -2.1993 eV per atom
SG = P4/mmm, No. 123
ΔE_f (raw) = 0.00 eV/atom

Structure (extended XYZ):
```
5
Lattice="-1.589 -1.042 5.058 4.183 -3.363 0.621 3.219 4.356 1.909" Properties=species:S:1:pos:R:3 pbc="T T T"
Br 1.609 2.178 0.954
Ga -0.794 -0.521 2.529
Ga 2.092 -1.682 0.311
Na 0.000 0.000 0.000
Rb 2.907 -0.024 3.794
```

***

5.
This record from the Alexandria database describes a relaxed structure of NaGaSeBr2. The functional is PBEsol.

Summary:
density of states at the Fermi level = 2.49 states/eV/f.u.
V = 136 Å³ per cell
energy = -3.1025 eV per atom
SG = P4/mmm, No. 123
ΔE_f (raw) = -0.64 eV/atom

Structure (extended XYZ):
```
5
Lattice="4.875 0.000 0.000 0.000 5.279 0.000 0.000 0.000 5.279" Properties=species:S:1:pos:R:3 pbc="T T T"
Se 2.437 0.000 0.000
Br 0.000 0.000 2.640
Ga 0.000 0.000 0.000
Na 2.437 2.640 2.640
Br 0.000 2.640 0.000
```

***

6.
This record from the Alexandria database describes a relaxed structure of NbGa2Br. The functional is PBEsol.

Summary:
density of states at the Fermi level = 3.22 states/eV/f.u.
V = 76 Å³ per cell
energy = -4.2289 eV per atom
SG = Fm-3m, No. 225
ΔE_f (raw) = 0.61 eV/atom

Structure (extended XYZ):
```
4
Lattice="-4.430 -1.291 -1.129 -3.152 -0.925 3.432 -3.614 2.985 0.773" Properties=species:S:1:pos:R:3 pbc="T T T"
Br 0.000 0.000 0.000
Ga -8.398 0.576 2.306
Nb -5.598 0.384 1.538
Ga -2.799 0.192 0.769
```

***

7.
This record from the Alexandria database describes a relaxed structure of Ga3NiBr. The functional is PBEsol.

Summary:
density of states at the Fermi level = 0.29 states/eV/f.u.
V = 97 Å³ per cell
energy = -3.9527 eV per atom
SG = Pm-3m, No. 221
ΔE_f (raw) = -0.34 eV/atom

Structure (extended XYZ):
```
5
Lattice="4.600 0.000 0.000 0.000 4.600 0.000 0.000 0.000 4.600" Properties=species:S:1:pos:R:3 pbc="T T T"
Br 2.300 2.300 2.300
Ga 0.000 0.000 2.300
Ga 0.000 2.300 0.000
Ga 2.300 0.000 0.000
Ni 0.000 0.000 0.000
```

***

8.
This record from the Alexandria database describes a relaxed structure of GaNiSeBr2. The functional is PBEsol.

Summary:
density of states at the Fermi level = 4.93 states/eV/f.u.
V = 124 Å³ per cell
energy = -2.9169 eV per atom
SG = P4/mmm, No. 123
ΔE_f (raw) = 0.50 eV/atom

Structure (extended XYZ):
```
5
Lattice="-1.361 3.589 -3.146 2.141 -2.464 -3.738 -4.339 -2.423 -0.887" Properties=species:S:1:pos:R:3 pbc="T T T"
Br -0.680 1.795 -1.573
Ga 0.000 0.000 0.000
Ni -1.780 -0.649 -3.886
Se -2.170 -1.211 -0.444
Br 1.070 -1.232 -1.869
```

***

9.
This record from the Alexandria database describes a relaxed structure of ZnGaNi2Br. The functional is PBEsol.

Summary:
density of states at the Fermi level = 3.68 states/eV/f.u.
V = 101 Å³ per cell
energy = -2.9932 eV per atom
SG = P4/mmm, No. 123
ΔE_f (raw) = 0.83 eV/atom

Structure (extended XYZ):
```
5
Lattice="-2.648 -2.022 -2.679 2.107 -3.657 0.678 -3.391 -1.168 4.234" Properties=species:S:1:pos:R:3 pbc="T T T"
Br 0.000 0.000 0.000
Ni 1.053 -1.829 0.339
Ga -1.696 -0.584 2.117
Ni -1.324 -1.011 -1.339
Zn -1.966 -3.424 1.117
```

***

10.
This record from the Alexandria database describes a relaxed structure of GaBr2O. The functional is PBEsol.

Summary:
density of states at the Fermi level = 3.35 states/eV/f.u.
V = 91 Å³ per cell
energy = -2.5279 eV per atom
SG = R-3m, No. 166
ΔE_f (raw) = 0.55 eV/atom

Structure (extended XYZ):
```
4
Lattice="3.657 0.000 0.000 1.829 3.167 0.000 1.829 1.056 7.856" Properties=species:S:1:pos:R:3 pbc="T T T"
Br 5.486 3.167 2.259
Ga 0.000 0.000 0.000
O 3.657 2.111 3.928
Br 1.829 1.056 5.597
```

***

11.
This record from the Alexandria database describes a relaxed structure of Ga3BrO. The functional is PBEsol.

Summary:
density of states at the Fermi level = 1.02 states/eV/f.u.
V = 101 Å³ per cell
energy = -3.6553 eV per atom
SG = Pm-3m, No. 221
ΔE_f (raw) = -0.23 eV/atom

Structure (extended XYZ):
```
5
Lattice="-2.843 -3.647 0.585 2.418 -1.279 3.774 -2.792 2.605 2.673" Properties=species:S:1:pos:R:3 pbc="T T T"
Br -1.608 -1.161 3.516
Ga -1.421 -1.824 0.292
Ga -1.396 1.302 1.336
O 0.000 0.000 0.000
Ga 1.209 -0.640 1.887
```

***

12.
This record from the Alexandria database describes a relaxed structure of GaPb2BrO. The functional is PBEsol.

Summary:
density of states at the Fermi level = 2.02 states/eV/f.u.
V = 129 Å³ per cell
energy = -3.3328 eV per atom
SG = P4/mmm, No. 123
ΔE_f (raw) = 0.36 eV/atom

Structure (extended XYZ):
```
5
Lattice="-0.177 -2.300 -3.225 5.068 -2.253 1.329 -2.603 -4.063 3.040" Properties=species:S:1:pos:R:3 pbc="T T T"
Pb 2.534 -1.126 0.664
Br 0.000 0.000 0.000
Ga 1.144 -4.308 0.572
O -0.088 -1.150 -1.612
Pb -1.302 -2.031 1.520
```